An optimized crystal structure of LaMoO2F. Source: the Alexandria database, functional GGA+U.

The calculation puts the total DFT energy (no corrections) at -34.08 eV for the cell shown. The volume is 14.824 Å³/atom.

The structure belongs to space group P4/mmm (No. 123); the cell edges are 4.219, 4.219 and 4.165 Å and the angles 90.00°, 90.00° and 90.00°. The inequivalent atoms are La at (0.000, 0.000, 0.000), Mo at (0.500, 0.500, 0.500), O at (0.000, 0.500, 0.500) and F at (0.500, 0.500, 0.000).